# Ce2Mn17B2

A geometry-optimized Ce2Mn17B2 structure (PBE-GGA, the Alexandria database).

Density of states at the Fermi level, states/eV per atom: 1.179
Energy of formation, eV/atom: -0.008

Cell: 6.451 6.472 6.472 Å, 83.90 83.53 83.53°
Last column: magnetic moment on the atom in μB.
Fractional coordinates of all 21 atoms:
Ce 0.338 0.361 0.361  -0.11
Ce 0.662 0.639 0.639  -0.11
Mn 0.101 0.105 0.105  -2.32
Mn 0.899 0.895 0.895  -2.32
Mn 0.000 0.272 0.728  -1.47
Mn 0.728 0.006 0.275  0.36
Mn 0.272 0.725 0.994  0.36
Mn 0.272 0.994 0.725  0.36
Mn 0.728 0.275 0.006  0.36
Mn 0.000 0.728 0.272  -1.47
Mn 0.664 0.666 0.141  1.40
Mn 0.137 0.653 0.653  2.43
Mn 0.664 0.141 0.666  1.40
Mn 0.336 0.334 0.859  1.40
Mn 0.863 0.347 0.347  2.43
Mn 0.336 0.859 0.334  1.40
Mn 0.500 0.000 0.000  -1.18
Mn 0.000 0.500 0.000  -0.35
Mn 0.000 0.000 0.500  -0.35
B 0.500 0.000 0.500  -0.07
B 0.500 0.500 0.000  -0.07

***

# CeMn10B2

A geometry-optimized CeMn10B2 structure (PBE-GGA, the Alexandria database).

Density of states at the Fermi level, states/eV per atom: 1.033
Energy of formation, eV/atom: -0.059

Cell: 6.111 6.111 7.733 Å, 90.00 90.00 96.66°
Fractional coordinates of all 26 atoms:
Ce 0.884 0.116 0.750
Ce 0.116 0.884 0.250
Mn 0.394 0.114 0.750
Mn 0.606 0.886 0.250
Mn 0.886 0.606 0.750
Mn 0.114 0.394 0.250
Mn 0.530 0.742 0.750
Mn 0.470 0.258 0.250
Mn 0.258 0.470 0.750
Mn 0.742 0.530 0.250
Mn 0.821 0.179 0.403
Mn 0.179 0.821 0.903
Mn 0.821 0.179 0.097
Mn 0.179 0.821 0.597
Mn 0.614 0.386 0.938
Mn 0.386 0.614 0.438
Mn 0.614 0.386 0.562
Mn 0.386 0.614 0.062
Mn 0.777 0.777 0.000
Mn 0.223 0.223 0.500
Mn 0.223 0.223 0.000
Mn 0.777 0.777 0.500
B 0.500 0.000 0.000
B 0.500 0.000 0.500
B 0.000 0.500 0.500
B 0.000 0.500 0.000

***

# Ce3MnB2N6

A geometry-optimized Ce3MnB2N6 structure (PBE-GGA, the Alexandria database).

Density of states at the Fermi level, states/eV per atom: 0.988
Calculated total energy, eV for the cell shown: -102.243

Cell: 5.340 5.340 6.040 Å, 90.00 90.00 120.00°
Last column: magnetic moment on the atom in μB.
Fractional coordinates of all 12 atoms:
Ce 0.333 0.667 0.669  0.76
Ce 0.667 0.333 0.331  0.76
Ce 0.000 0.000 0.000  0.26
Mn 0.000 0.000 0.500  2.74
B 0.667 0.333 0.746  0.02
B 0.333 0.667 0.254  0.02
N 0.648 0.824 0.287  -0.01
N 0.176 0.352 0.287  -0.01
N 0.176 0.824 0.287  -0.01
N 0.824 0.648 0.713  -0.01
N 0.352 0.176 0.713  -0.01
N 0.824 0.176 0.713  -0.01

***

# Ce2MnBRh6

A geometry-optimized Ce2MnBRh6 structure (PBE-GGA, the Alexandria database).

Density of states at the Fermi level, states/eV per atom: 0.736
Energy of formation, eV/atom: -0.490

Cell: 5.667 6.966 6.948 Å, 48.12 65.87 89.95°
Last column: magnetic moment on the atom in μB.
Fractional coordinates of all 10 atoms:
Ce 0.729 0.269 0.542  -0.06
Ce 0.271 0.731 0.458  -0.06
Mn 0.000 0.000 0.000  3.02
B 0.500 0.500 0.000  0.01
Rh 0.262 0.215 0.474  0.02
Rh 0.778 0.733 0.960  0.03
Rh 0.262 0.733 0.959  0.03
Rh 0.738 0.267 0.041  0.03
Rh 0.222 0.267 0.040  0.03
Rh 0.738 0.785 0.526  0.02

***

# Ce3MnB2Rh9

A geometry-optimized Ce3MnB2Rh9 structure (PBE-GGA, the Alexandria database).

Density of states at the Fermi level, states/eV per atom: 0.894
Energy of formation, eV/atom: -0.558

Cell: 5.814 5.814 8.463 Å, 90.00 90.00 120.00°
Last column: magnetic moment on the atom in μB.
Fractional coordinates of all 15 atoms:
Ce 0.333 0.667 0.649  -0.26
Ce 0.000 0.000 0.000  -0.02
Ce 0.667 0.333 0.351  -0.26
Mn 0.000 0.000 0.500  2.94
B 0.333 0.667 0.149  0.01
B 0.667 0.333 0.851  0.01
Rh 0.835 0.165 0.712  0.05
Rh 0.835 0.670 0.712  0.05
Rh 0.330 0.165 0.712  0.05
Rh 0.670 0.835 0.288  0.05
Rh 0.165 0.330 0.288  0.05
Rh 0.165 0.835 0.288  0.05
Rh 0.500 0.000 0.000  -0.03
Rh 0.000 0.500 0.000  -0.03
Rh 0.500 0.500 0.000  -0.03

***

# Ce2MnB2Ru5

A geometry-optimized Ce2MnB2Ru5 structure (PBE-GGA, the Alexandria database).

Density of states at the Fermi level, states/eV per atom: 0.526
Energy of formation, eV/atom: -0.404

Cell: 3.113 9.639 9.639 Å, 90.00 90.00 90.00°
Last column: magnetic moment on the atom in μB.
Fractional coordinates of all 20 atoms:
Ce 0.000 0.677 0.177  -0.02
Ce 0.000 0.323 0.823  -0.02
Ce 0.000 0.177 0.323  -0.02
Ce 0.000 0.823 0.677  -0.02
Mn 0.000 0.000 0.000  3.17
Mn 0.000 0.500 0.500  3.17
B 0.000 0.122 0.622  0.01
B 0.000 0.878 0.378  0.01
B 0.000 0.622 0.878  0.01
B 0.000 0.378 0.122  0.01
Ru 0.500 0.218 0.071  -0.07
Ru 0.500 0.782 0.929  -0.07
Ru 0.500 0.071 0.782  -0.07
Ru 0.500 0.718 0.429  -0.07
Ru 0.500 0.929 0.218  -0.07
Ru 0.500 0.282 0.571  -0.07
Ru 0.500 0.571 0.718  -0.07
Ru 0.500 0.429 0.282  -0.07
Ru 0.500 0.500 0.000  -0.09
Ru 0.500 0.000 0.500  -0.09

***

# CeMn2Si2B

A geometry-optimized CeMn2Si2B structure (PBE-GGA, the Alexandria database).

Density of states at the Fermi level, states/eV per atom: 0.786
Calculated total energy, eV for the cell shown: -45.304

Cell: 3.976 3.976 5.242 Å, 90.00 90.00 90.00°
Last column: magnetic moment on the atom in μB.
Fractional coordinates of all 6 atoms:
Ce 0.000 0.000 0.500  -0.12
Mn 0.500 0.000 0.000  0.64
Mn 0.000 0.500 0.000  0.64
Si 0.500 0.500 0.738  -0.02
Si 0.500 0.500 0.262  -0.02
B 0.000 0.000 0.000  -0.06

***

# Ce2B10Mo

A geometry-optimized Ce2B10Mo structure (PBE-GGA, the Alexandria database).

Density of states at the Fermi level, states/eV per atom: 0.461
Energy of formation, eV/atom: -0.423

Cell: 4.173 5.797 11.550 Å, 90.00 90.00 90.00°
Fractional coordinates of all 26 atoms:
Ce 0.500 0.273 0.867
Ce 0.500 0.727 0.133
Ce 0.500 0.773 0.633
Ce 0.500 0.227 0.367
B 0.000 0.114 0.544
B 0.000 0.886 0.456
B 0.000 0.614 0.956
B 0.000 0.386 0.044
B 0.000 0.118 0.698
B 0.000 0.882 0.302
B 0.300 0.236 0.121
B 0.300 0.764 0.879
B 0.700 0.736 0.379
B 0.700 0.264 0.621
B 0.700 0.764 0.879
B 0.700 0.236 0.121
B 0.300 0.264 0.621
B 0.300 0.736 0.379
B 0.000 0.076 0.196
B 0.000 0.924 0.804
B 0.000 0.576 0.304
B 0.000 0.424 0.696
B 0.000 0.382 0.198
B 0.000 0.618 0.802
Mo 0.000 0.500 0.500
Mo 0.000 0.000 0.000

***

# CeB3Mo

A geometry-optimized CeB3Mo structure (PBE-GGA, the Alexandria database).

Density of states at the Fermi level, states/eV per atom: 0.818
Energy of formation, eV/atom: -0.011

Cell: 7.110 6.110 6.110 Å, 70.61 90.00 90.00°
Fractional coordinates of all 20 atoms:
Ce 0.250 0.000 0.000
Ce 0.750 0.000 0.000
Ce 0.250 0.500 0.500
Ce 0.750 0.500 0.500
B 0.500 0.376 0.808
B 0.000 0.192 0.624
B 0.500 0.624 0.192
B 0.000 0.808 0.376
B 0.000 0.624 0.192
B 0.500 0.808 0.376
B 0.000 0.376 0.808
B 0.500 0.192 0.624
B 0.500 0.307 0.307
B 0.000 0.693 0.693
B 0.500 0.693 0.693
B 0.000 0.307 0.307
Mo 0.750 0.500 0.000
Mo 0.750 0.000 0.500
Mo 0.250 0.500 0.000
Mo 0.250 0.000 0.500

***

Number 1: spin magnetization 0.09 μB/atom. Number 2: spin magnetization 0.00 μB/atom. Number 3: spin magnetization 0.42 μB/atom. Number 4: spin magnetization 0.31 μB/atom. Number 5: spin magnetization 0.17 μB/atom. Number 6: spin magnetization 0.28 μB/atom. Number 7: spin magnetization 0.18 μB/atom. Number 8: spin magnetization 0.00 μB/atom. Number 9: spin magnetization 0.00 μB/atom.